Entry 1:
Crystalline ErGa12Rh6 at its relaxed geometry, computed with PBE.

Cell lengths 11.3496, 11.3496, 8.5904 Å; angles 90.00, 90.00, 120.00 degrees
Closest atoms and distances in Å follow each position.
Space group R-3m (No. 166, hexagonal axes)
One atom of each set of equivalent atoms:
1 Er 0.0000 0.0000 0.0000 (multiplicity 3)  6 Ga 3.19
2 Ga 0.0000 0.3865 0.5000 (multiplicity 18)  4 Rh 2.51-2.57, 3 Ga 2.58-2.72
3 Ga 0.0880 0.1760 0.3122 (multiplicity 18)  4 Rh 2.54-2.81, 2 Ga 2.72
4 Rh 0.0492 0.5246 0.2474 (multiplicity 18)  8 Ga 2.51-2.81

---

Entry 2:
Crystalline LiAcTm at its relaxed geometry, computed with PBE.

Cell lengths 3.8900, 3.8900, 12.3910 Å; angles 90.00, 90.00, 90.00 degrees
Closest atoms and distances in Å follow each position.
Space group I4mm (No. 107)
One atom of each set of equivalent atoms:
1 Li 0.0000 0.0000 0.0000 (multiplicity 2)  4 Tm 3.19, 4 Ac 3.47
2 Ac 0.0000 0.0000 0.6709 (multiplicity 2)  4 Li 3.47, 5 Tm 3.70-3.73
3 Tm 0.0000 0.0000 0.3701 (multiplicity 2)  4 Li 3.19

Offset from the most stable computed form in meV/atom: 0

---

Entry 3:
Crystalline LiTa2W at its relaxed geometry, computed with PBE.

Cell lengths 9.6300, 2.7012, 5.2454 Å; angles 90.00, 96.05, 90.00 degrees
Closest atoms and distances in Å follow each position.
Space group Cm (No. 8)
One atom of each set of equivalent atoms:
1 Li 0.0000 0.0000 0.0000 (multiplicity 2)  2 Li 2.70, 7 Ta 2.84-2.98, 3 W 2.91-2.92
2 Ta 0.2503 0.0000 0.7589 (multiplicity 2)  5 Ta 2.70-3.00, 3 Li 2.84-2.93, 4 W 2.93-2.97
3 Ta 0.4974 0.0000 0.4923 (multiplicity 2)  5 Ta 2.70-3.00, 3 W 2.80-2.95, 4 Li 2.92-2.98
4 W 0.2439 0.5000 0.2529 (multiplicity 2)  2 W 2.70, 7 Ta 2.80-2.97, 3 Li 2.91-2.92

Offset from the most stable computed form in meV/atom: 208

---

no.,ΔH_f (0 K) (eV per atom)
1,-0.4995
2,0.0965
3,0.4006